Crystalline InAuBr at its relaxed geometry. Source: Alexandria, functional GGA-PBE.

## Properties
- ΔE_f (raw) (eV per atom) = -0.259
- polymorph energy (0 for the lowest one) (meV/atom) = 43
- space group = P3m1 (156)
- Fermi-level density of states (states/eV/f.u.) = 0.9

Cell: 4.098 4.098 5.553 Å, 90.00 90.00 120.00°
Element x y z (fractional)
In: 0.333 0.667 0.706
Au: 0.000 0.000 0.958
Br: 0.667 0.333 0.337

---

Crystalline InAuBr at its relaxed geometry. Source: Alexandria, functional GGA-PBE.

## Properties
- ΔE_f (raw) (eV per atom) = -0.105
- polymorph energy (0 for the lowest one) (meV/atom) = 197
- space group = I4mm (107)
- Fermi-level density of states (states/eV/f.u.) = 1.0

Cell: 6.322 6.322 6.322 Å, 147.16 147.16 47.12°
Element x y z (fractional)
Au: 0.025 0.025 0.000
In: 0.646 0.646 0.000
Br: 0.329 0.329 0.000

---

Crystalline InAu2Br at its relaxed geometry. Source: Alexandria, functional GGA-PBE.

## Properties
- ΔE_f (raw) (eV per atom) = 0.204
- polymorph energy (0 for the lowest one) (meV/atom) = 375
- space group = F-43m (216)
- Fermi-level density of states (states/eV/f.u.) = 0.7

Cell: 5.081 5.081 5.081 Å, 60.00 60.00 60.00°
Element x y z (fractional)
In: 0.750 0.750 0.750
Br: 0.500 0.500 0.500
Au: 0.000 0.000 0.000
Au: 0.250 0.250 0.250

---

Crystalline InAu2Br at its relaxed geometry. Source: Alexandria, functional GGA-PBE.

## Properties
- ΔE_f (raw) (eV per atom) = -0.090
- polymorph energy (0 for the lowest one) (meV/atom) = 81
- space group = R3m (160)
- Fermi-level density of states (states/eV/f.u.) = 1.3

Cell: 7.626 7.626 7.626 Å, 30.03 30.03 30.03°
Element x y z (fractional)
Au: 0.999 0.999 0.999
Au: 0.260 0.260 0.260
In: 0.737 0.737 0.737
Br: 0.504 0.504 0.504

---

Crystalline InAu2Br at its relaxed geometry. Source: Alexandria, functional GGA-PBE.

## Properties
- ΔE_f (raw) (eV per atom) = -0.128
- polymorph energy (0 for the lowest one) (meV/atom) = 43
- space group = Cm (8)
- Fermi-level density of states (states/eV/f.u.) = 1.2

Cell: 4.889 4.889 7.734 Å, 57.53 57.53 46.80°
Element x y z (fractional)
Br: 0.502 0.502 0.503
Au: 0.774 0.774 0.847
Au: 0.000 0.000 0.000
In: 0.225 0.225 0.150

---

Crystalline InAu2Br at its relaxed geometry. Source: Alexandria, functional GGA-PBE.

## Properties
- ΔE_f (raw) (eV per atom) = 0.074
- polymorph energy (0 for the lowest one) (meV/atom) = 245
- space group = Pmmm (47)
- Fermi-level density of states (states/eV/f.u.) = 1.0

Cell: 3.572 4.501 6.027 Å, 90.00 90.00 90.00°
Element x y z (fractional)
Au: 0.000 0.000 0.000
Au: 0.500 0.500 0.000
Br: 0.500 0.000 0.500
In: 0.000 0.500 0.500

---

Crystalline InAuBr at its relaxed geometry. Source: Alexandria, functional GGA-PBE.

## Properties
- ΔE_f (raw) (eV per atom) = -0.119
- polymorph energy (0 for the lowest one) (meV/atom) = 183
- space group = Fmm2 (42)
- Fermi-level density of states (states/eV/f.u.) = 0.7

Cell: 6.805 6.401 3.749 Å, 79.53 67.66 32.80°
Element x y z (fractional)
Au: 0.993 0.993 0.007
In: 0.349 0.349 0.651
Br: 0.658 0.658 0.342

---

Crystalline InAuBr at its relaxed geometry. Source: Alexandria, functional GGA-PBE.

## Properties
- ΔE_f (raw) (eV per atom) = -0.302
- polymorph energy (0 for the lowest one) (meV/atom) = 0
- space group = P2_1/c (14)
- Fermi-level density of states (states/eV/f.u.) = 0.6

Cell: 7.232 7.784 7.710 Å, 90.00 125.20 90.00°
Element x y z (fractional)
Br: 0.166 0.621 0.846
Br: 0.666 0.879 0.846
Br: 0.334 0.121 0.154
Br: 0.834 0.379 0.154
In: 0.664 0.366 0.454
In: 0.836 0.866 0.546
In: 0.164 0.134 0.454
In: 0.336 0.634 0.546
Au: 0.031 0.174 0.735
Au: 0.531 0.326 0.735
Au: 0.969 0.826 0.265
Au: 0.469 0.674 0.265

---

Crystalline InAu2Br at its relaxed geometry. Source: Alexandria, functional GGA-PBE.

## Properties
- ΔE_f (raw) (eV per atom) = 0.072
- polymorph energy (0 for the lowest one) (meV/atom) = 243
- space group = P4/mmm (123)
- Fermi-level density of states (states/eV/f.u.) = 0.7

Cell: 3.868 3.869 6.221 Å, 90.00 90.00 90.00°
Element x y z (fractional)
Br: 0.500 0.500 0.250
In: 0.500 0.500 0.750
Au: 0.000 0.000 0.967
Au: 0.000 0.000 0.533

---

Crystalline InAu2Br8 at its relaxed geometry. Source: Alexandria, functional GGA-PBE.

## Properties
- ΔE_f (raw) (eV per atom) = -0.263
- space group = C2/m (12)
- Fermi-level density of states (states/eV/f.u.) = 10.4

Cell: 7.213 8.030 8.030 Å, 82.71 73.40 73.40°
Element x y z (fractional)
Au: 0.616 0.851 0.851
Au: 0.384 0.149 0.149
Br: 0.891 0.606 0.606
Br: 0.822 0.082 0.737
Br: 0.667 0.218 0.218
Br: 0.333 0.782 0.782
Br: 0.822 0.737 0.082
Br: 0.178 0.263 0.918
Br: 0.178 0.918 0.263
Br: 0.109 0.394 0.394
In: 0.000 0.000 0.000

---

Crystalline InAu2Br at its relaxed geometry. Source: Alexandria, functional GGA-PBE.

## Properties
- ΔE_f (raw) (eV per atom) = -0.083
- polymorph energy (0 for the lowest one) (meV/atom) = 88
- space group = R-3m (166)
- Fermi-level density of states (states/eV/f.u.) = 1.5

Cell: 7.973 7.973 7.973 Å, 27.19 27.19 27.19°
Element x y z (fractional)
Au: 0.005 0.005 0.005
Au: 0.495 0.495 0.495
In: 0.750 0.750 0.750
Br: 0.250 0.250 0.250

---

Crystalline InAu4Br at its relaxed geometry. Source: Alexandria, functional GGA-PBE.

## Properties
- ΔE_f (raw) (eV per atom) = -0.040
- space group = F-43m (216)
- Fermi-level density of states (states/eV/f.u.) = 0.5

Cell: 5.675 5.675 5.675 Å, 60.00 60.00 60.00°
Element x y z (fractional)
Au: 0.375 0.375 0.875
Au: 0.875 0.375 0.375
Au: 0.375 0.875 0.375
Au: 0.375 0.375 0.375
Br: 0.750 0.750 0.750
In: 0.000 0.000 0.000

---

Crystalline InAu2Br6 at its relaxed geometry. Source: Alexandria, functional GGA-PBE.

## Properties
- ΔE_f (raw) (eV per atom) = -0.308
- polymorph energy (0 for the lowest one) (meV/atom) = 24
- space group = C2/c (15)
- Fermi-level density of states (states/eV/f.u.) = 1.3

Cell: 7.744 9.691 9.691 Å, 87.53 73.16 73.16°
Element x y z (fractional)
Br: 0.066 0.657 0.551
Br: 0.566 0.551 0.657
Br: 0.934 0.343 0.449
Br: 0.755 0.950 0.344
Br: 0.434 0.449 0.343
Br: 0.245 0.050 0.656
Br: 0.828 0.186 0.022
Br: 0.255 0.344 0.950
Br: 0.172 0.814 0.978
Br: 0.745 0.656 0.050
Br: 0.672 0.978 0.814
Br: 0.328 0.022 0.186
In: 0.750 0.911 0.089
In: 0.250 0.089 0.911
Au: 0.802 0.289 0.265
Au: 0.698 0.735 0.711
Au: 0.302 0.265 0.289
Au: 0.198 0.711 0.735

---

Crystalline InAu2Br at its relaxed geometry. Source: Alexandria, functional GGA-PBE.

## Properties
- ΔE_f (raw) (eV per atom) = 0.020
- polymorph energy (0 for the lowest one) (meV/atom) = 191
- space group = Immm (71)
- Fermi-level density of states (states/eV/f.u.) = 1.0

Cell: 5.786 5.786 5.786 Å, 146.29 116.43 73.92°
Element x y z (fractional)
Br: 0.250 0.750 0.500
Au: 0.515 0.515 0.000
Au: 0.985 0.985 0.000
In: 0.750 0.250 0.500

---

Crystalline In3AuBr at its relaxed geometry. Source: Alexandria, functional GGA-PBE.

## Properties
- ΔE_f (raw) (eV per atom) = 0.382
- polymorph energy (0 for the lowest one) (meV/atom) = 613
- space group = Pm-3m (221)
- Fermi-level density of states (states/eV/f.u.) = 2.1

Cell: 5.929 5.929 5.929 Å, 90.00 90.00 90.00°
Element x y z (fractional)
In: 0.000 0.000 0.500
In: 0.000 0.500 0.000
In: 0.500 0.000 0.000
Au: 0.500 0.500 0.500
Br: 0.000 0.000 0.000

---

Crystalline InAu2Br at its relaxed geometry. Source: Alexandria, functional GGA-PBE.

## Properties
- ΔE_f (raw) (eV per atom) = 0.050
- polymorph energy (0 for the lowest one) (meV/atom) = 221
- space group = Cmmm (65)
- Fermi-level density of states (states/eV/f.u.) = 1.5

Cell: 3.620 3.620 7.970 Å, 90.00 90.00 114.60°
Element x y z (fractional)
In: 0.500 0.500 0.750
Br: 0.500 0.500 0.250
Au: 0.000 0.000 0.989
Au: 0.000 0.000 0.511

---

Crystalline InAu2Br at its relaxed geometry. Source: Alexandria, functional GGA-PBE.

## Properties
- ΔE_f (raw) (eV per atom) = -0.171
- polymorph energy (0 for the lowest one) (meV/atom) = 0
- space group = C2/m (12)
- Fermi-level density of states (states/eV/f.u.) = 2.0

Cell: 4.866 4.866 9.641 Å, 45.76 45.76 60.39°
Element x y z (fractional)
Br: 0.750 0.750 0.750
Au: 0.916 0.916 0.251
Au: 0.584 0.584 0.249
In: 0.250 0.250 0.250

---

Crystalline In4AuBr at its relaxed geometry. Source: Alexandria, functional GGA-PBE.

## Properties
- ΔE_f (raw) (eV per atom) = 0.089
- space group = F-43m (216)
- Fermi-level density of states (states/eV/f.u.) = 2.2

Cell: 6.214 6.214 6.214 Å, 60.00 60.00 60.00°
Element x y z (fractional)
Br: 0.000 0.000 0.000
In: 0.873 0.376 0.376
In: 0.376 0.376 0.376
In: 0.376 0.873 0.376
In: 0.376 0.376 0.873
Au: 0.750 0.750 0.750

---

Crystalline InAu2Br at its relaxed geometry. Source: Alexandria, functional GGA-PBE.

## Properties
- ΔE_f (raw) (eV per atom) = 0.032
- polymorph energy (0 for the lowest one) (meV/atom) = 203
- space group = Imm2 (44)
- Fermi-level density of states (states/eV/f.u.) = 1.1

Cell: 5.605 5.605 5.605 Å, 141.14 112.10 81.09°
Element x y z (fractional)
Au: 0.007 0.007 0.000
Au: 0.239 0.739 0.500
In: 0.768 0.268 0.500
Br: 0.486 0.486 0.000

---

Crystalline InAu2Br6 at its relaxed geometry. Source: Alexandria, functional GGA-PBE.

## Properties
- ΔE_f (raw) (eV per atom) = -0.332
- polymorph energy (0 for the lowest one) (meV/atom) = 0
- space group = C2/c (15)
- Fermi-level density of states (states/eV/f.u.) = 5.3

Cell: 7.203 9.453 9.453 Å, 104.55 98.11 98.11°
Element x y z (fractional)
Br: 0.455 0.277 0.507
Br: 0.955 0.507 0.277
Br: 0.150 0.189 0.083
Br: 0.383 0.672 0.073
Br: 0.650 0.083 0.189
Br: 0.117 0.927 0.328
Br: 0.883 0.073 0.672
Br: 0.545 0.723 0.493
Br: 0.850 0.811 0.917
Br: 0.350 0.917 0.811
Br: 0.045 0.493 0.723
Br: 0.617 0.328 0.927
In: 0.750 0.089 0.911
In: 0.250 0.911 0.089
Au: 0.210 0.383 0.371
Au: 0.290 0.629 0.617
Au: 0.710 0.371 0.383
Au: 0.790 0.617 0.629